# RbNaIn2Bi2 (PBE-GGA, relaxed)
# * crystal system: trigonal
# * total moment: 0.000 μB per formula unit
# * calculated formation energy: -1.58 eV per formula unit
# * N(E_F): 0.9 states/eV per cell
data_RbNaIn2Bi2
_symmetry_space_group_name_H-M 'P 1'
_symmetry_Int_Tables_number 1
_cell_length_a 5.4042
_cell_length_b 5.4042
_cell_length_c 8.5097
_cell_angle_alpha 90.00
_cell_angle_beta 90.00
_cell_angle_gamma 120.00
loop_
_symmetry_equiv_pos_as_xyz
'x,y,z'
loop_
_atom_site_label
_atom_site_fract_x
_atom_site_fract_y
_atom_site_fract_z
Rb1 0.0000 0.0000 0.0000
Na1 0.0000 0.0000 0.5000
In1 0.3333 0.6667 0.6414
In2 0.6667 0.3333 0.3586
Bi1 0.3333 0.6667 0.2766
Bi2 0.6667 0.3333 0.7234